[1]
Entry from Alexandria via LeMat-Bulk: a PBEsol-optimized structure of ErPt (SCAN).

The structure in POSCAR format:
```
ErPt
1.0
-4.4487 -0.3975 -0.1216
0.4402 -3.7112 -3.9748
0.3135 -4.9254 4.6335
Er Pt
4 4
direct
0.2500 0.6420 0.1815 Er
0.7500 0.3580 0.8185 Er
0.7500 0.1420 0.3185 Er
0.2500 0.8580 0.6815 Er
0.2500 0.1559 0.0428 Pt
0.7500 0.8441 0.9572 Pt
0.7500 0.6559 0.4572 Pt
0.2500 0.3441 0.5428 Pt
```

Calculated values
- Energy of formation: -1537.4 meV per atom
- Symmetry: Pnma

[2]
Entry from Alexandria via LeMat-Bulk: a PBEsol-optimized structure of Er5Pt4 (SCAN).

The structure in POSCAR format:
```
Er5Pt4
1.0
-3.8602 -1.1032 -6.1212
-5.6224 -2.6880 4.0301
-5.4918 13.1311 1.0966
Er Pt
20 16
direct
0.3455 0.8335 0.6230 Er
0.8455 0.6665 0.8770 Er
0.6545 0.1665 0.1230 Er
0.1545 0.3335 0.3770 Er
0.6545 0.1665 0.3770 Er
0.1545 0.3335 0.1230 Er
0.3455 0.8335 0.8770 Er
0.8455 0.6665 0.6230 Er
0.5014 0.3204 0.5926 Er
0.0014 0.1796 0.9074 Er
0.4986 0.6796 0.0926 Er
0.9986 0.8204 0.4074 Er
0.4986 0.6796 0.4074 Er
0.9986 0.8204 0.0926 Er
0.5014 0.3204 0.9074 Er
0.0014 0.1796 0.5926 Er
0.1831 0.4896 0.7500 Er
0.6831 0.0104 0.7500 Er
0.8169 0.5104 0.2500 Er
0.3169 0.9896 0.2500 Er
0.3150 0.0344 0.4593 Pt
0.8150 0.4656 0.0407 Pt
0.6850 0.9656 0.9593 Pt
0.1850 0.5344 0.5407 Pt
0.6850 0.9656 0.5407 Pt
0.1850 0.5344 0.9593 Pt
0.3150 0.0344 0.0407 Pt
0.8150 0.4656 0.4593 Pt
0.5484 0.6109 0.7500 Pt
0.0483 0.8891 0.7500 Pt
0.4516 0.3891 0.2500 Pt
0.9516 0.1109 0.2500 Pt
0.3193 0.1445 0.7500 Pt
0.8193 0.3555 0.7500 Pt
0.6807 0.8555 0.2500 Pt
0.1807 0.6445 0.2500 Pt
```

Calculated values
- Energy of formation: -1438.7 meV per atom
- Symmetry: Pnma

[3]
Entry from Alexandria via LeMat-Bulk: a PBEsol-optimized structure of Er3Pt (SCAN).

The structure in POSCAR format:
```
Er3Pt
1.0
-5.8045 -1.7942 -1.8408
1.1745 -6.3084 2.4451
-3.3994 2.5561 8.2279
Er Pt
12 4
direct
0.3195 0.6823 0.0588 Er
0.1805 0.1823 0.4412 Er
0.6805 0.3177 0.5588 Er
0.8195 0.8177 0.9412 Er
0.6805 0.3177 0.9412 Er
0.8195 0.8177 0.5588 Er
0.3195 0.6823 0.4412 Er
0.1805 0.1823 0.0588 Er
0.8756 0.5235 0.2500 Er
0.6244 0.0235 0.2500 Er
0.1244 0.4765 0.7500 Er
0.3756 0.9765 0.7500 Er
0.0464 0.8915 0.2500 Pt
0.4536 0.3915 0.2500 Pt
0.9536 0.1085 0.7500 Pt
0.5464 0.6085 0.7500 Pt
```

Calculated values
- Energy of formation: -902.4 meV per atom
- Symmetry: Pnma

[4]
Entry from Alexandria via LeMat-Bulk: a PBEsol-optimized structure of Er2RuPt (SCAN).

The structure in POSCAR format:
```
Er2RuPt
1.0
4.7568 0.0000 0.0000
-2.3784 4.1002 -0.0619
0.0000 -2.7002 3.9162
Ru Pt Er
1 1 2
direct
0.5000 0.0000 0.5000 Ru
0.0000 0.0000 0.0000 Pt
0.7500 0.5000 0.2500 Er
0.2500 0.5000 0.7500 Er
```

Calculated values
- Energy of formation: -1028.7 meV per atom
- Symmetry: I4/mmm

[5]
Entry from Alexandria via LeMat-Bulk: a PBEsol-optimized structure of ErSi2Pt2 (SCAN).

The structure in POSCAR format:
```
ErSi2Pt2
1.0
-2.6809 2.7452 -1.4152
-2.9426 -1.7011 2.2746
3.9448 2.5086 3.3026
Si Pt Er
2 2 1
direct
0.3845 0.3845 0.7690 Si
0.6155 0.6155 0.2310 Si
0.2500 0.7500 0.5000 Pt
0.7500 0.2500 0.5000 Pt
0.0000 0.0000 0.0000 Er
```

Calculated values
- Uncorrected formation energy: -1.154 eV/atom
- Symmetry: I4/mmm

[6]
Entry from Alexandria via LeMat-Bulk: a PBEsol-optimized structure of ErSi2Pt2 (SCAN).

The structure in POSCAR format:
```
ErSi2Pt2
1.0
-2.9371 -2.2698 1.7630
2.8711 -1.6790 2.4134
-1.4725 7.1067 6.6961
Si Pt Er
4 4 2
direct
0.2500 0.2500 0.0000 Si
0.2500 0.7500 0.3639 Si
0.7500 0.7500 0.0000 Si
0.7500 0.2500 0.6361 Si
0.7500 0.7500 0.5000 Pt
0.7500 0.2500 0.8740 Pt
0.2500 0.7500 0.1260 Pt
0.2500 0.2500 0.5000 Pt
0.7500 0.2500 0.2478 Er
0.2500 0.7500 0.7522 Er
```

Calculated values
- Uncorrected formation energy: -1.272 eV/atom
- Symmetry: Cmme

[7]
Entry from Alexandria via LeMat-Bulk: a PBEsol-optimized structure of ErSnPt2 (SCAN).

The structure in POSCAR format:
```
ErSnPt2
1.0
4.4888 0.0000 0.0000
-2.2444 3.8874 0.0000
0.0000 0.0000 8.8769
Er Sn Pt
2 2 4
direct
0.6667 0.3333 0.7500 Er
0.3333 0.6667 0.2500 Er
0.0000 0.0000 0.0000 Sn
0.0000 0.0000 0.5000 Sn
0.6667 0.3333 0.4108 Pt
0.3333 0.6667 0.5892 Pt
0.3333 0.6667 0.9108 Pt
0.6667 0.3333 0.0892 Pt
```

Calculated values
- Energy of formation: -1157.2 meV per atom
- Symmetry: P6_3/mmc

[8]
Entry from Alexandria via LeMat-Bulk: a PBEsol-optimized structure of ErSnPt (SCAN).

The structure in POSCAR format:
```
ErSnPt
1.0
-3.4276 -1.5298 1.1807
3.1093 -2.0493 6.3711
-3.1673 6.6389 -0.5926
Sn Pt Er
3 3 3
direct
0.5000 0.2602 0.2602 Sn
0.5000 0.0000 0.7398 Sn
0.5000 0.7398 0.0000 Sn
0.5000 0.3333 0.6667 Pt
0.0000 0.0000 0.0000 Pt
0.5000 0.6667 0.3333 Pt
0.0000 0.0000 0.4053 Er
0.0000 0.4053 0.0000 Er
0.0000 0.5947 0.5947 Er
```

Calculated values
- Energy of formation: -1295.4 meV per atom
- Symmetry: P-62m